[1]
# PBE Ba3LaNi, optimized geometry
# * magnetization: 0.000 μB/atom
# * N(E_F): 13.034 states/eV per cell
# * total energy: -2.189 eV per atom
# * energy above the most stable polymorph in this dataset: 0.861 eV/atom
data_Ba3LaNi
_chemical_formula_sum 'Ba3 La1 Ni1'
_cell_length_a 6.2832
_cell_length_b 6.2832
_cell_length_c 6.2832
_cell_angle_alpha 90.00
_cell_angle_beta 90.00
_cell_angle_gamma 90.00
_space_group_name_H-M_alt 'P m -3 m'
_space_group_IT_number 221
_space_group_name_Hall '-P 4 2 3'
loop_
_atom_site_label
_atom_site_type_symbol
_atom_site_fract_x
_atom_site_fract_y
_atom_site_fract_z
Ba1 Ba 0.0000 0.0000 0.5000
La1 La 0.0000 0.0000 0.0000
Ni1 Ni 0.5000 0.5000 0.5000

---

[2]
# PBE BaLaNi2, optimized geometry
# * magnetization: 0.000 μB/atom
# * N(E_F): 6.761 states/eV per cell
# * total energy: -4.662 eV per atom
# * energy above the most stable polymorph in this dataset: 0.024 eV/atom
data_BaLaNi2
_chemical_formula_sum 'Ba2 La2 Ni4'
_cell_length_a 3.9984
_cell_length_b 4.0964
_cell_length_c 13.8335
_cell_angle_alpha 90.00
_cell_angle_beta 90.00
_cell_angle_gamma 90.00
_space_group_name_H-M_alt 'I m m 2'
_space_group_IT_number 44
_space_group_name_Hall 'I 2 -2'
loop_
_atom_site_label
_atom_site_type_symbol
_atom_site_fract_x
_atom_site_fract_y
_atom_site_fract_z
Ba1 Ba 0.0000 0.0000 0.0000
La1 La 0.0000 0.5000 0.7518
Ni1 Ni 0.0000 0.0000 0.6126
Ni2 Ni 0.0000 0.5000 0.2079

---

[3]
# PBE BaLa3Ni, optimized geometry
# * magnetization: 0.377 μB/atom
# * N(E_F): 8.093 states/eV per cell
# * total energy: -4.502 eV per atom
# * energy above the most stable polymorph in this dataset: 0.000 eV/atom
data_BaLa3Ni
_chemical_formula_sum 'Ba1 La3 Ni1'
_cell_length_a 5.7420
_cell_length_b 5.7420
_cell_length_c 5.7420
_cell_angle_alpha 90.00
_cell_angle_beta 90.00
_cell_angle_gamma 90.00
_space_group_name_H-M_alt 'P m -3 m'
_space_group_IT_number 221
_space_group_name_Hall '-P 4 2 3'
loop_
_atom_site_label
_atom_site_type_symbol
_atom_site_fract_x
_atom_site_fract_y
_atom_site_fract_z
Ba1 Ba 0.0000 0.0000 0.0000
La1 La 0.0000 0.5000 0.5000
Ni1 Ni 0.5000 0.5000 0.5000

---

[4]
# PBE BaLa2Ni2, optimized geometry
# * magnetization: 0.000 μB/atom
# * N(E_F): 13.791 states/eV per cell
# * total energy: -4.647 eV per atom
# * energy above the most stable polymorph in this dataset: 0.095 eV/atom
data_BaLa2Ni2
_chemical_formula_sum 'Ba2 La4 Ni4'
_cell_length_a 8.5767
_cell_length_b 8.5767
_cell_length_c 3.4908
_cell_angle_alpha 90.00
_cell_angle_beta 90.00
_cell_angle_gamma 90.00
_space_group_name_H-M_alt 'P 4/m b m'
_space_group_IT_number 127
_space_group_name_Hall '-P 4 2ab'
loop_
_atom_site_label
_atom_site_type_symbol
_atom_site_fract_x
_atom_site_fract_y
_atom_site_fract_z
Ba1 Ba 0.0000 0.0000 0.0000
La1 La 0.1399 0.3601 0.0000
Ni1 Ni 0.1499 0.6499 0.5000

---

[5]
# PBE BaLa2Ni2, optimized geometry
# * magnetization: 0.000 μB/atom
# * N(E_F): 7.226 states/eV per cell
# * total energy: -4.742 eV per atom
# * energy above the most stable polymorph in this dataset: 0.000 eV/atom
data_BaLa2Ni2
_chemical_formula_sum 'Ba2 La4 Ni4'
_cell_length_a 8.2247
_cell_length_b 8.2247
_cell_length_c 4.0441
_cell_angle_alpha 90.00
_cell_angle_beta 90.00
_cell_angle_gamma 90.00
_space_group_name_H-M_alt 'P 4/m b m'
_space_group_IT_number 127
_space_group_name_Hall '-P 4 2ab'
loop_
_atom_site_label
_atom_site_type_symbol
_atom_site_fract_x
_atom_site_fract_y
_atom_site_fract_z
Ba1 Ba 0.0000 0.0000 0.0000
La1 La 0.1529 0.3471 0.5000
Ni1 Ni 0.1099 0.6099 0.0000

---

[6]
# PBE Ba2LaNi, optimized geometry
# * magnetization: 0.000 μB/atom
# * N(E_F): 23.907 states/eV per cell
# * total energy: -3.084 eV per atom
# * energy above the most stable polymorph in this dataset: 0.538 eV/atom
data_Ba2LaNi
_chemical_formula_sum 'Ba8 La4 Ni4'
_cell_length_a 8.1174
_cell_length_b 8.1174
_cell_length_c 8.1174
_cell_angle_alpha 90.00
_cell_angle_beta 90.00
_cell_angle_gamma 90.00
_space_group_name_H-M_alt 'F m -3 m'
_space_group_IT_number 225
_space_group_name_Hall '-F 4 2 3'
loop_
_atom_site_label
_atom_site_type_symbol
_atom_site_fract_x
_atom_site_fract_y
_atom_site_fract_z
Ba1 Ba 0.2500 0.2500 0.2500
La1 La 0.0000 0.0000 0.0000
Ni1 Ni 0.0000 0.0000 0.5000

---

no.,density (Mg/m³)
1,4.1
2,5.8
3,5.4
4,6.9
5,6.5
6,5.9